# 1
BaAl2Ge2: optimized geometry, GGA-PBE.

Output
V   120.41 Å³ per cell
Formation enthalpy at 0 K   -0.3905 eV per atom
Space-group type   No. 139

Cell: 7.4091 7.4091 7.4091 Å, 146.96 146.96 47.42°
Closest atoms and distances in Å follow each position.
Sites, in units of the cell vectors:
Ba 0.0000 0.0000 0.0000  8 Ge 3.50
Al 0.2500 0.7500 0.5000  4 Ge 2.62
Al 0.7500 0.2500 0.5000  4 Ge 2.62
Ge 0.3644 0.3644 0.0000  4 Al 2.62
Ge 0.6355 0.6355 0.0000  4 Al 2.62

=====

# 2
Ba2Al2Ge: optimized geometry, GGA-PBE.

Output
V   153.66 Å³ per cell
Formation enthalpy at 0 K   -0.2464 eV per atom
Space-group type   No. 38

Cell: 5.1146 7.3041 7.3041 Å, 34.27 90.00 90.00°
Closest atoms and distances in Å follow each position.
Sites, in units of the cell vectors:
Ba 0.0000 0.0000 0.0000  1 Ba 3.46, 4 Ge 3.49, 6 Al 3.55-3.77
Ba 0.0000 0.2480 0.2480  1 Ba 3.46, 8 Al 3.51-3.75, 2 Ge 3.59
Al 0.5000 0.6254 0.6254  1 Ge 2.75, 1 Al 2.77
Al 0.5000 0.8239 0.8239  2 Ge 2.60, 1 Al 2.77
Ge 0.5000 0.4281 0.4281  3 Al 2.60-2.75

=====

# 3
Ba4Al3Ge: optimized geometry, GGA-PBE.

Output
V   295.76 Å³ per cell
Formation enthalpy at 0 K   -0.2553 eV per atom
Space-group type   No. 25

Cell: 4.5287 5.0883 12.8351 Å, 90.00 90.00 90.00°
Closest atoms and distances in Å follow each position.
Sites, in units of the cell vectors:
Ba 0.0000 0.0000 0.0000  6 Al 3.61-3.62, 1 Ge 3.67
Ba 0.0000 0.5000 0.4869  4 Al 3.58, 2 Ge 3.62
Ba 0.5000 0.0000 0.7061  7 Al 3.61-3.90
Ba 0.5000 0.5000 0.2102  3 Al 3.54-3.91, 4 Ge 3.54
Al 0.0000 0.5000 0.8006  2 Al 2.63
Al 0.5000 0.0000 0.4019  2 Ge 2.71
Al 0.5000 0.5000 0.9054  2 Al 2.63
Ge 0.0000 0.0000 0.2863  2 Al 2.71

=====

# 4
BaAl3Ge2: optimized geometry, GGA-PBE.

Output
V   284.71 Å³ per cell
Formation enthalpy at 0 K   -0.2631 eV per atom
Space-group type   No. 12

Cell: 8.3266 8.3266 9.5033 Å, 120.35 120.35 30.48°
Closest atoms and distances in Å follow each position.
Sites, in units of the cell vectors:
Ba 0.1475 0.1475 0.0589  7 Ge 3.41-3.55, 2 Al 3.63
Ba 0.8525 0.8525 0.9411  7 Ge 3.41-3.55, 2 Al 3.63
Al 0.0795 0.0795 0.3909  3 Ge 2.61-2.68, 1 Al 2.77
Al 0.2813 0.2813 0.5905  2 Ge 2.56-2.64, 3 Al 2.64-2.77
Al 0.4310 0.4310 0.3446  3 Ge 2.58-2.63, 1 Al 2.60
Al 0.5690 0.5690 0.6554  3 Ge 2.58-2.63, 1 Al 2.60
Al 0.7187 0.7187 0.4095  2 Ge 2.56-2.64, 3 Al 2.64-2.77
Al 0.9205 0.9205 0.6091  3 Ge 2.61-2.68, 1 Al 2.77
Ge 0.1670 0.1670 0.7129  4 Al 2.58-2.64
Ge 0.4662 0.4662 0.7980  4 Al 2.56-2.68
Ge 0.5338 0.5338 0.2020  4 Al 2.56-2.68
Ge 0.8330 0.8330 0.2871  4 Al 2.58-2.64

=====

# 5
Ba2Al3Ge4: optimized geometry, GGA-PBE.

Output
V   420.53 Å³ per cell
Formation enthalpy at 0 K   -0.3037 eV per atom
Space-group type   No. 64

Cell: 8.7022 8.7022 8.3001 Å, 90.00 90.00 138.01°
Closest atoms and distances in Å follow each position.
Sites, in units of the cell vectors:
Ba 0.1116 0.8884 0.9104  8 Ge 3.31-3.42, 6 Al 3.46-3.68
Ba 0.3884 0.6116 0.4104  8 Ge 3.31-3.42, 6 Al 3.46-3.68
Ba 0.6116 0.3884 0.5896  8 Ge 3.31-3.42, 6 Al 3.46-3.68
Ba 0.8884 0.1116 0.0896  8 Ge 3.31-3.42, 6 Al 3.46-3.68
Al 0.0000 0.0000 0.5000  4 Ge 2.76
Al 0.0335 0.4665 0.7500  3 Ge 2.59-2.78
Al 0.4665 0.0335 0.2500  3 Ge 2.59-2.78
Al 0.5000 0.5000 0.0000  4 Ge 2.76
Al 0.5335 0.9665 0.7500  3 Ge 2.59-2.78
Al 0.9665 0.5335 0.2500  3 Ge 2.59-2.78
Ge 0.1899 0.8101 0.5424  5 Al 2.78-3.11
Ge 0.1929 0.3071 0.7500  3 Al 2.59-2.76
Ge 0.3071 0.1929 0.2500  3 Al 2.59-2.76
Ge 0.3101 0.6899 0.0424  5 Al 2.78-3.11
Ge 0.6899 0.3101 0.9576  5 Al 2.78-3.11
Ge 0.6929 0.8071 0.7500  3 Al 2.59-2.76
Ge 0.8071 0.6929 0.2500  3 Al 2.59-2.76
Ge 0.8101 0.1899 0.4576  5 Al 2.78-3.11

=====

# 6
BaAl2Ge: optimized geometry, GGA-PBE.

Output
V   239.53 Å³ per cell
Formation enthalpy at 0 K   -0.1192 eV per atom
Space-group type   No. 141

Cell: 9.8045 9.8045 9.8045 Å, 149.68 149.68 43.41°
Closest atoms and distances in Å follow each position.
Sites, in units of the cell vectors:
Ba 0.3750 0.6250 0.7500  4 Ge 3.63, 8 Al 3.66
Ba 0.6250 0.3750 0.2500  4 Ge 3.63, 8 Al 3.66
Al 0.0000 0.0000 0.0000  2 Al 2.56, 2 Ge 2.61
Al 0.0000 0.0000 0.5000  2 Al 2.56, 2 Ge 2.61
Al 0.0000 0.5000 0.0000  2 Al 2.56, 2 Ge 2.61
Al 0.5000 0.0000 0.5000  2 Al 2.56, 2 Ge 2.61
Ge 0.1250 0.8750 0.2500  4 Al 2.61
Ge 0.8750 0.1250 0.7500  4 Al 2.61